# 1
Material: Dy3AlSi2Pd9
Method: DFT, PBE
State: relaxed

Values from the calculation:
For the energy relative to the elements, uncorrected, the calculation gives -0.6558 eV per atom. The total energy is -84.97 eV per cell.

Lattice parameters (Å, degrees): 6.2780 6.2780 8.9170 90.00 90.00 120.00
Space group P-3m1 (No. 164)
Asymmetric unit:
Dy  0.0000  0.0000  0.0000
Dy  0.3333  0.6667  0.7112
Al  0.0000  0.0000  0.5000
Si  0.3333  0.6667  0.1748
Pd  0.0000  0.5000  0.0000
Pd  0.1451  0.2902  0.2836



# 2
Material: Dy2AlSi4Pd3
Method: DFT, PBE
State: relaxed

Values from the calculation:
For the energy relative to the elements, uncorrected, the calculation gives -0.8194 eV per atom. The total energy is -58.41 eV per cell.

Lattice parameters (Å, degrees): 3.984 3.984 10.928 90.00 90.00 90.00
Space group P-4m2 (No. 115)
Asymmetric unit:
Dy  0.000  0.500  0.246
Al  0.500  0.500  0.000
Si  0.000  0.000  0.500
Si  0.000  0.500  0.854
Si  0.500  0.500  0.500
Pd  0.000  0.000  0.000
Pd  0.000  0.500  0.634



# 3
Material: SmDyAl2Pd5
Method: DFT, PBE
State: relaxed

Values from the calculation:
The formation energy comes out at -0.8185 eV/atom. The total energy is -50.14 eV per cell.

Lattice parameters (Å, degrees): 4.251 4.251 9.249 90.00 90.00 90.00
Space group P4/mmm (No. 123)
Asymmetric unit:
Sm  0.000  0.000  0.000
Dy  0.000  0.000  0.500
Al  0.500  0.500  0.360
Pd  0.000  0.500  0.227
Pd  0.500  0.500  0.000



# 4
Material: Dy2Al2SnPd5
Method: DFT, PBE
State: relaxed

Values from the calculation:
The formation energy comes out at -0.7799 eV/atom. The total energy is -108.91 eV per cell.

Lattice parameters (Å, degrees): 10.031 10.031 3.692 90.00 90.00 90.00
Space group P4/mbm (No. 127)
Asymmetric unit:
Dy  0.180  0.320  0.000
Al  0.116  0.616  0.000
Sn  0.000  0.000  0.000
Pd  0.000  0.500  0.500
Pd  0.063  0.786  0.500



# 5
Material: Dy2TiAl2Pd5
Method: DFT, PBE
State: relaxed

Values from the calculation:
The formation energy comes out at -0.7599 eV/atom. The total energy is -116.29 eV per cell.

Lattice parameters (Å, degrees): 10.213 10.213 3.455 90.00 90.00 90.00
Space group P4/mbm (No. 127)
Asymmetric unit:
Dy  0.175  0.325  0.000
Ti  0.000  0.000  0.000
Al  0.127  0.627  0.000
Pd  0.000  0.500  0.500
Pd  0.051  0.800  0.500



# 6
Material: DyTmAlPd
Method: DFT, PBE
State: relaxed

Values from the calculation:
The formation energy comes out at -0.5940 eV/atom. Its energy above the most stable polymorph in this dataset is 3.6 kJ/mol of atoms. The total energy is -81.54 eV per cell.

Lattice parameters (Å, degrees): 7.102 7.102 7.102 90.00 90.00 90.00
Space group F-43m (No. 216)
Asymmetric unit:
Dy  0.000  0.000  0.000
Tm  0.000  0.000  0.500
Al  0.250  0.250  0.250
Pd  0.250  0.250  0.750



# 7
Material: DyTmAlPd
Method: DFT, PBE
State: relaxed

Values from the calculation:
The formation energy comes out at -0.6308 eV/atom. Its energy above the most stable polymorph in this dataset is 0.0 kJ/mol of atoms. The total energy is -41.06 eV per cell.

Lattice parameters (Å, degrees): 4.460 3.743 11.081 90.00 90.00 90.00
Space group Amm2 (No. 38)
Asymmetric unit:
Dy  0.000  0.000  0.000
Tm  0.500  0.000  0.706
Al  0.000  0.000  0.280
Pd  0.500  0.000  0.422



# 8
Material: DyYAlPd
Method: DFT, PBE
State: relaxed

Values from the calculation:
The formation energy comes out at -0.6317 eV/atom. Its energy above the most stable polymorph in this dataset is 0.0 kJ/mol of atoms. The total energy is -45.06 eV per cell.

Lattice parameters (Å, degrees): 4.441 3.798 11.219 90.00 90.00 90.00
Space group Amm2 (No. 38)
Asymmetric unit:
Dy  0.000  0.000  0.000
Y  0.500  0.000  0.293
Al  0.000  0.000  0.717
Pd  0.500  0.000  0.575